No. 1
The following is a DFT calculation (PBEsol) of a geometry-optimized AlAsOF2 structure.

Properties
final energy: -5.39 eV/atom
formation energy from raw total energies: -8.7 eV/f.u.
total magnetic moment: 0.002 μB per cell

Unit cell a=3.893 b=3.893 c=3.650 alpha=90.00 beta=90.00 gamma=90.00
Space group P4/mmm (No. 123)
One atom of each set of equivalent atoms:
Al  0.000  0.000  0.000
As  0.500  0.500  0.500
O  0.000  0.000  0.500
F  0.000  0.500  0.000

No. 2
The following is a DFT calculation (PBEsol) of a geometry-optimized TiGa3Br structure.

Properties
final energy: -3.59 eV/atom
formation energy from raw total energies: 2.3 eV/f.u.
total magnetic moment: 3.641 μB per cell

Unit cell a=5.107 b=5.107 c=5.107 alpha=90.00 beta=90.00 gamma=90.00
Space group Pm-3m (No. 221)
One atom of each set of equivalent atoms:
Ti  0.000  0.000  0.000
Ga  0.000  0.000  0.500
Br  0.500  0.500  0.500

No. 3
The following is a DFT calculation (PBEsol) of a geometry-optimized TaBe2W structure.

Properties
DFT formation energy: 155 meV/atom
final energy: -8.43 eV/atom
total magnetic moment: 0.000 μB per cell

Unit cell a=3.515 b=3.515 c=8.319 alpha=90.00 beta=90.00 gamma=90.00
Space group I-4m2 (No. 119)
One atom of each set of equivalent atoms:
Ta  0.000  0.000  0.000
Be  0.000  0.000  0.500
Be  0.000  0.500  0.750
W  0.000  0.500  0.250

No. 4
The following is a DFT calculation (PBEsol) of a geometry-optimized KBaTa2 structure.

Properties
DFT formation energy: 1987 meV/atom
final energy: -5.11 eV/atom
total magnetic moment: 0.774 μB per cell

Unit cell a=6.329 b=6.329 c=2.840 alpha=90.00 beta=90.00 gamma=90.00
Space group P4/mmm (No. 123)
One atom of each set of equivalent atoms:
K  0.000  0.000  0.000
Ba  0.500  0.500  0.000
Ta  0.000  0.500  0.500

No. 5
The following is a DFT calculation (PBEsol) of a geometry-optimized NaCrO2 structure.

Properties
final energy: -7.41 eV/atom
formation energy from raw total energies: -7.5 eV/f.u.
total magnetic moment: 9.000 μB per cell

Unit cell a=2.9874 b=2.9874 c=15.7565 alpha=90.00 beta=90.00 gamma=120.00
Space group R-3m (No. 166, hexagonal axes)
One atom of each set of equivalent atoms:
Na  0.0000  0.0000  0.0000
Cr  0.0000  0.0000  0.5000
O  0.0000  0.0000  0.2317

No. 6
The following is a DFT calculation (PBEsol) of a geometry-optimized Hg3SO6 structure.

Properties
final energy: -4.55 eV/atom
formation energy from raw total energies: -7.9 eV/f.u.
total magnetic moment: 0.000 μB per cell

Unit cell a=7.0614 b=7.0614 c=10.1378 alpha=90.00 beta=90.00 gamma=120.00
Space group P3_1 (No. 144)
One atom of each set of equivalent atoms:
Hg  0.0220  0.1655  0.0000
Hg  0.0360  0.6672  0.9814
Hg  0.5242  0.1706  0.9656
S  0.1018  0.4441  0.6525
O  0.0042  0.1871  0.2631
O  0.0666  0.6066  0.7271
O  0.0734  0.2697  0.7480
O  0.2266  0.6780  0.2582
O  0.4114  0.0687  0.2143
O  0.4886  0.1495  0.7016

No. 7
The following is a DFT calculation (PBEsol) of a geometry-optimized Ca5In structure.

Properties
DFT formation energy: -149 meV/atom
final energy: -2.42 eV/atom
total magnetic moment: 0.001 μB per cell

Unit cell a=4.515 b=16.553 c=5.524 alpha=90.00 beta=90.00 gamma=90.00
Space group Cmmm (No. 65)
One atom of each set of equivalent atoms:
Ca  0.000  0.000  0.000
Ca  0.000  0.150  0.500
Ca  0.000  0.335  0.000
In  0.000  0.500  0.500

No. 8
The following is a DFT calculation (PBEsol) of a geometry-optimized MgTc2P structure.

Properties
DFT formation energy: -2 meV/atom
final energy: -7.51 eV/atom
total magnetic moment: 0.001 μB per cell

Unit cell a=9.020 b=3.014 c=4.290 alpha=90.00 beta=109.76 gamma=90.00
Space group Cm (No. 8)
One atom of each set of equivalent atoms:
Mg  0.000  0.000  0.000
Tc  0.018  0.500  0.524
Tc  0.262  0.500  0.213
P  0.241  0.000  0.722

No. 9
The following is a DFT calculation (PBEsol) of a geometry-optimized TaPOs2 structure.

Properties
DFT formation energy: 311 meV/atom
final energy: -10.38 eV/atom
total magnetic moment: 0.001 μB per cell

Unit cell a=2.987 b=4.733 c=8.282 alpha=90.00 beta=90.00 gamma=90.00
Space group Cmm2 (No. 35)
One atom of each set of equivalent atoms:
Ta  0.000  0.000  0.000
P  0.000  0.500  0.244
Os  0.000  0.000  0.458
Os  0.000  0.500  0.737

No. 10
The following is a DFT calculation (PBEsol) of a geometry-optimized CaSbF6 structure.

Properties
final energy: -5.15 eV/atom
formation energy from raw total energies: -22.9 eV/f.u.
total magnetic moment: 2.689 μB per cell

Unit cell a=5.7344 b=5.7344 c=14.9094 alpha=90.00 beta=90.00 gamma=120.00
Space group R-3 (No. 148, hexagonal axes)
One atom of each set of equivalent atoms:
Ca  0.0000  0.0000  0.0000
Sb  0.0000  0.0000  0.5000
F  0.0181  0.4125  0.2457

No. 11
The following is a DFT calculation (PBEsol) of a geometry-optimized HgC2F structure.

Properties
final energy: -4.28 eV/atom
formation energy from raw total energies: 4.6 eV/f.u.
total magnetic moment: 0.000 μB per cell

Unit cell a=3.010 b=3.010 c=23.830 alpha=90.00 beta=90.00 gamma=90.00
Space group I4_1/amd (No. 141, origin choice 2)
One atom of each set of equivalent atoms:
Hg  0.000  0.250  0.375
C  0.000  0.000  0.000
F  0.000  0.250  0.875

No. 12
The following is a DFT calculation (PBEsol) of a geometry-optimized BaPtF2 structure.

Properties
final energy: -4.79 eV/atom
formation energy from raw total energies: -6.2 eV/f.u.
total magnetic moment: 0.645 μB per cell

Unit cell a=6.443 b=6.443 c=6.443 alpha=90.00 beta=90.00 gamma=90.00
Space group Fm-3m (No. 225)
One atom of each set of equivalent atoms:
Ba  0.000  0.000  0.000
Pt  0.000  0.000  0.500
F  0.250  0.250  0.250

No. 13
The following is a DFT calculation (PBEsol) of a geometry-optimized K2PdBr6 structure.

Properties
final energy: -3.11 eV/atom
formation energy from raw total energies: -8.5 eV/f.u.
total magnetic moment: 0.000 μB per cell

Unit cell a=10.164 b=10.164 c=10.164 alpha=90.00 beta=90.00 gamma=90.00
Space group Fm-3m (No. 225)
One atom of each set of equivalent atoms:
K  0.250  0.250  0.250
Pd  0.000  0.000  0.000
Br  0.000  0.000  0.242

No. 14
The following is a DFT calculation (PBEsol) of a geometry-optimized Sr2Cd2Hg structure.

Properties
DFT formation energy: -265 meV/atom
final energy: -1.59 eV/atom
total magnetic moment: 0.000 μB per cell

Unit cell a=4.065 b=4.065 c=18.928 alpha=90.00 beta=90.00 gamma=90.00
Space group I4/mmm (No. 139)
One atom of each set of equivalent atoms:
Sr  0.000  0.000  0.099
Cd  0.000  0.500  0.250
Hg  0.000  0.000  0.500

No. 15
The following is a DFT calculation (PBEsol) of a geometry-optimized CoRuI2 structure.

Properties
final energy: -4.41 eV/atom
formation energy from raw total energies: 3.8 eV/f.u.
total magnetic moment: 4.053 μB per cell

Unit cell a=6.610 b=6.610 c=6.610 alpha=90.00 beta=90.00 gamma=90.00
Space group Fm-3m (No. 225)
One atom of each set of equivalent atoms:
Co  0.000  0.000  0.000
Ru  0.000  0.000  0.500
I  0.250  0.250  0.250

No. 16
The following is a DFT calculation (PBEsol) of a geometry-optimized TaFeRe2 structure.

Properties
DFT formation energy: 30 meV/atom
final energy: -12.01 eV/atom
total magnetic moment: 2.349 μB per cell

Unit cell a=2.674 b=4.319 c=5.137 alpha=90.00 beta=100.69 gamma=90.00
Space group Pm (No. 6)
One atom of each set of equivalent atoms:
Ta  0.000  0.000  0.000
Fe  0.755  0.500  0.241
Re  0.246  0.500  0.727
Re  0.511  0.000  0.493

No. 17
The following is a DFT calculation (PBEsol) of a geometry-optimized YBiC2 structure.

Properties
DFT formation energy: 850 meV/atom
final energy: -6.75 eV/atom
total magnetic moment: 0.000 μB per cell

Unit cell a=5.943 b=5.943 c=8.092 alpha=90.00 beta=90.00 gamma=90.00
Space group I-42d (No. 122)
One atom of each set of equivalent atoms:
Y  0.000  0.000  0.000
Bi  0.000  0.000  0.500
C  0.230  0.750  0.625

No. 18
The following is a DFT calculation (PBEsol) of a geometry-optimized Al2RhPb structure.

Properties
DFT formation energy: -199 meV/atom
final energy: -5.28 eV/atom
total magnetic moment: 0.000 μB per cell

Unit cell a=3.1534 b=3.1534 c=25.8373 alpha=90.00 beta=90.00 gamma=120.00
Space group R-3m (No. 166, hexagonal axes)
One atom of each set of equivalent atoms:
Al  0.0000  0.0000  0.2331
Rh  0.0000  0.0000  0.5000
Pb  0.0000  0.0000  0.0000

No. 19
The following is a DFT calculation (PBEsol) of a geometry-optimized ZrScP structure.

Properties
DFT formation energy: -862 meV/atom
final energy: -8.02 eV/atom
total magnetic moment: 0.024 μB per cell

Unit cell a=6.138 b=6.138 c=6.138 alpha=90.00 beta=90.00 gamma=90.00
Space group F-43m (No. 216)
One atom of each set of equivalent atoms:
Zr  0.000  0.000  0.000
Sc  0.000  0.000  0.500
P  0.250  0.250  0.250

No. 20
The following is a DFT calculation (PBEsol) of a geometry-optimized CaSi2Au structure.

Properties
final energy: -4.66 eV/atom
formation energy from raw total energies: -1.1 eV/f.u.
total magnetic moment: 0.000 μB per cell

Unit cell a=3.080 b=4.543 c=5.207 alpha=90.00 beta=90.00 gamma=90.00
Space group Pmm2 (No. 25)
One atom of each set of equivalent atoms:
Ca  0.000  0.000  0.000
Si  0.500  0.000  0.509
Si  0.500  0.500  0.743
Au  0.500  0.500  0.248